# RbSmCr2O8 PBE+U optimized geometry
data_RbSmCr2O8
_cell_length_a 5.8572
_cell_length_b 5.8572
_cell_length_c 8.1068
_cell_angle_alpha 90.00
_cell_angle_beta 90.00
_cell_angle_gamma 120.00
_space_group_name_H-M_alt 'P -3'
_space_group_IT_number 147
loop_
_space_group_symop_operation_xyz
'x,y,z'
'-x,-y,-z'
'-y,x-y,z'
'y,-x+y,-z'
'-x+y,-x,z'
'x-y,x,-z'
loop_
_atom_site_label
_atom_site_type_symbol
_atom_site_fract_x
_atom_site_fract_y
_atom_site_fract_z
Rb1 Rb 0.0000 0.0000 0.0000
Sm1 Sm 0.0000 0.0000 0.5000
Cr1 Cr 0.3333 0.6667 0.7484
O1 O 0.1719 0.3540 0.6802
O2 O 0.3333 0.6667 0.9483
# Total energy in eV/atom: -6.9117